No. 1
A plane-wave DFT calculation with PBE-GGA was carried out for an optimized crystal structure of NpCdIr4.

POSCAR file:
```
NpCdIr4
1.0
0.0000 3.7491 3.7491
3.7491 0.0000 3.7491
3.7491 3.7491 0.0000
Np Cd Ir
1 1 4
Direct
0.0000 0.0000 0.0000
0.7500 0.7500 0.7500
0.3756 0.3756 0.3756
0.3756 0.3756 0.8732
0.3756 0.8732 0.3756
0.8732 0.3756 0.3756
```

Properties
Symmetry   F-43m
M_tot   0.4345 μB/atom
V   105 Å³/cell
Final energy   -8.438 eV per atom

***

No. 2
A plane-wave DFT calculation with PBE-GGA was carried out for an optimized crystal structure of CrAgN2.

POSCAR file:
```
CrAgN2
1.0
0.0000 2.7470 2.7470
2.7470 0.0000 2.7470
2.7470 2.7470 0.0000
Cr Ag N
1 1 2
Direct
0.0000 0.0000 0.0000
0.5000 0.5000 0.5000
0.2500 0.2500 0.2500
0.7500 0.7500 0.7500
```

Properties
Symmetry   Fm-3m
M_tot   0.3714 μB/atom
V   41 Å³/cell
Energy above the lowest structure with this stoichiometry   1186 meV/atom
Uncorrected formation energy   1.278 eV/atom

***

No. 3
A plane-wave DFT calculation with PBE-GGA was carried out for an optimized crystal structure of YCr3Si.

POSCAR file:
```
YCr3Si
1.0
4.4921 0.0000 0.0000
0.0000 4.4921 0.0000
0.0000 0.0000 4.4921
Y Cr Si
1 3 1
Direct
0.0000 0.0000 0.0000
0.0000 0.5000 0.5000
0.5000 0.0000 0.5000
0.5000 0.5000 0.0000
0.5000 0.5000 0.5000
```

Properties
Symmetry   Pm-3m
M_tot   1.3359 μB/atom
V   91 Å³/cell
Energy above the lowest structure with this stoichiometry   0 meV/atom
Uncorrected formation energy   0.537 eV/atom

***

No. 4
A plane-wave DFT calculation with PBE-GGA was carried out for an optimized crystal structure of NbFe2SnI.

POSCAR file:
```
NbFe2SnI
1.0
4.7898 0.0000 0.0000
0.0000 4.7898 0.0000
0.0000 0.0000 5.4258
Nb Fe Sn I
1 2 1 1
Direct
0.0000 0.0000 0.0000
0.0000 0.5000 0.0000
0.5000 0.0000 0.0000
0.5000 0.5000 0.5000
0.0000 0.0000 0.5000
```

Properties
Symmetry   P4/mmm
M_tot   0.7898 μB/atom
V   124 Å³/cell
Uncorrected formation energy   1.242 eV/atom

***

No. 5
A plane-wave DFT calculation with PBE-GGA was carried out for an optimized crystal structure of Sr6Tl2PdO.

POSCAR file:
```
Sr6Tl2PdO
1.0
7.8616 0.0000 0.0000
0.0000 11.0757 0.0000
0.0000 0.0000 7.8605
Sr Tl Pd O
12 4 2 2
Direct
0.0131 0.2500 0.0125
0.0129 0.2500 0.4867
0.2500 0.0133 0.2497
0.2500 0.4867 0.2497
0.4869 0.2500 0.0125
0.4871 0.2500 0.4867
0.5129 0.7500 0.5133
0.5131 0.7500 0.9875
0.7500 0.5133 0.7503
0.7500 0.9867 0.7503
0.9871 0.7500 0.5133
0.9869 0.7500 0.9875
0.2500 0.0000 0.7502
0.2500 0.5000 0.7502
0.7500 0.0000 0.2498
0.7500 0.5000 0.2498
0.2500 0.7500 0.2504
0.7500 0.2500 0.7496
0.2500 0.2500 0.2497
0.7500 0.7500 0.7503
```

Properties
Symmetry   Pmmn
M_tot   0.0000 μB/atom
V   684 Å³/cell
Uncorrected formation energy   -0.763 eV/atom

***

No. 6
A plane-wave DFT calculation with PBE-GGA was carried out for an optimized crystal structure of Cd2Bi2P.

POSCAR file:
```
Cd2Bi2P
1.0
7.7918 0.0000 0.0000
0.0000 7.7918 0.0000
0.0000 0.0000 4.6539
Cd Bi P
4 4 2
Direct
0.1379 0.3621 0.0000
0.3621 0.8621 0.0000
0.6379 0.1379 0.0000
0.8621 0.6379 0.0000
0.1795 0.6795 0.5000
0.3205 0.1795 0.5000
0.6795 0.8205 0.5000
0.8205 0.3205 0.5000
0.0000 0.0000 0.5000
0.5000 0.5000 0.5000
```

Properties
Symmetry   P4/mbm
M_tot   0.0000 μB/atom
V   283 Å³/cell
Energy above the lowest structure with this stoichiometry   3 meV/atom

***

No. 7
A plane-wave DFT calculation with PBE-GGA was carried out for an optimized crystal structure of TmScTlRu.

POSCAR file:
```
TmScTlRu
1.0
3.2940 0.0000 0.0000
0.0000 3.2940 0.0000
0.0000 0.0000 7.9811
Tm Sc Tl Ru
1 1 1 1
Direct
0.0000 0.0000 0.0000
0.0000 0.0000 0.5984
0.5000 0.5000 0.3135
0.5000 0.5000 0.7840
```

Properties
Symmetry   P4mm
M_tot   0.0000 μB/atom
V   87 Å³/cell
Energy above the lowest structure with this stoichiometry   0 meV/atom

***

No. 8
A plane-wave DFT calculation with PBE-GGA was carried out for an optimized crystal structure of BaTeSe4.

POSCAR file:
```
BaTeSe4
1.0
7.5492 0.0000 0.0000
0.0000 14.9448 0.0000
0.0000 0.0000 7.3976
Ba Te Se
4 4 16
Direct
0.0000 0.1771 0.2500
0.0000 0.8229 0.7500
0.5000 0.3229 0.7500
0.5000 0.6771 0.2500
0.0000 0.4408 0.2500
0.0000 0.5592 0.7500
0.5000 0.0592 0.7500
0.5000 0.9408 0.2500
0.1336 0.1962 0.6642
0.1336 0.8038 0.1642
0.2211 0.4587 0.9512
0.2211 0.5413 0.4512
0.2789 0.0413 0.4512
0.2789 0.9587 0.9512
0.3664 0.3038 0.1642
0.3664 0.6962 0.6642
0.6336 0.3038 0.3358
0.6336 0.6962 0.8358
0.7211 0.0413 0.0488
0.7211 0.9587 0.5488
0.7789 0.4587 0.5488
0.7789 0.5413 0.0488
0.8664 0.1962 0.8358
0.8664 0.8038 0.3358
```

Properties
Symmetry   Pbcn
M_tot   0.0000 μB/atom
V   835 Å³/cell
Energy above the lowest structure with this stoichiometry   84 meV/atom
Uncorrected formation energy   -0.581 eV/atom

***

No. 9
A plane-wave DFT calculation with PBE-GGA was carried out for an optimized crystal structure of SmDyAg2Te4.

POSCAR file:
```
SmDyAg2Te4
1.0
7.4385 0.0000 0.0000
0.0000 4.4465 0.0000
-2.6294 0.0000 7.2319
Sm Dy Ag Te
1 1 2 4
Direct
0.0000 0.0000 0.0000
0.0000 0.5000 0.5000
0.5000 0.0000 0.5000
0.5000 0.5000 0.0000
0.2556 0.0000 0.7470
0.2575 0.5000 0.2557
0.7425 0.5000 0.7443
0.7444 0.0000 0.2530
```

Properties
Symmetry   P2/m
M_tot   0.0000 μB/atom
V   239 Å³/cell
Uncorrected formation energy   -0.837 eV/atom

***

No. 10
A plane-wave DFT calculation with PBE-GGA was carried out for an optimized crystal structure of Y2BeAu.

POSCAR file:
```
Y2BeAu
1.0
0.0000 3.4567 3.4567
3.4567 0.0000 3.4567
3.4567 3.4567 0.0000
Y Be Au
2 1 1
Direct
0.0000 0.0000 0.0000
0.2500 0.2500 0.2500
0.5000 0.5000 0.5000
0.7500 0.7500 0.7500
```

Properties
Symmetry   F-43m
M_tot   0.2281 μB/atom
V   83 Å³/cell
Final energy   -4.931 eV per atom

***

No. 11
A plane-wave DFT calculation with PBE-GGA was carried out for an optimized crystal structure of Ba3Ta.

POSCAR file:
```
Ba3Ta
1.0
-1.9853 3.2615 6.9334
1.9853 -3.2615 6.9334
1.9853 3.2615 -6.9334
Ba Ta
3 1
Direct
0.0000 0.0000 0.0000
0.3064 0.8064 0.5000
0.6936 0.1936 0.5000
0.5000 0.5000 0.0000
```

Properties
Symmetry   Immm
M_tot   0.4679 μB/atom
V   180 Å³/cell
Energy above the lowest structure with this stoichiometry   383 meV/atom

***

No. 12
A plane-wave DFT calculation with PBE-GGA was carried out for an optimized crystal structure of CdSn2P2.

POSCAR file:
```
CdSn2P2
1.0
-2.5351 2.5351 4.7096
2.5351 -2.5351 4.7096
2.5351 2.5351 -4.7096
Cd Sn P
1 2 2
Direct
0.0000 0.0000 0.0000
0.3458 0.3458 0.0000
0.6542 0.6542 0.0000
0.2500 0.7500 0.5000
0.7500 0.2500 0.5000
```

Properties
Symmetry   I4/mmm
M_tot   0.0000 μB/atom
V   121 Å³/cell
Final energy   -3.751 eV per atom